Record 1
Compound: TlCdSi2
Source: the Alexandria database
Functional: PBE-GGA
Structure: optimized geometry

Lattice parameters (Å, degrees): 6.6294 6.6294 6.6294 147.81 142.89 49.93
Last column: nearest neighbours and their distance in Å.
Sites, in units of the cell vectors:
Tl: 0.0000 0.0000 0.0000  4 Si 3.14, 2 Cd 3.23
Cd: 0.2963 0.7963 0.5000  6 Si 2.86-3.00
Si: 0.6189 0.6189 0.0000  2 Si 2.40
Si: 0.7472 0.2472 0.5000  2 Si 2.40

Calculated values
Crystal system: orthorhombic

---

Record 2
Compound: TlCdSi2
Source: the Alexandria database
Functional: PBE-GGA
Structure: optimized geometry

Lattice parameters (Å, degrees): 2.8511 3.8488 8.2069 90.00 90.32 90.00
Last column: nearest neighbours and their distance in Å.
Sites, in units of the cell vectors:
Tl: 0.0000 0.0000 0.0000  2 Tl 2.85, 2 Si 3.02
Cd: 0.5348 0.5000 0.3056  2 Cd 2.85, 4 Si 3.06-3.09
Si: 0.0259 0.5000 0.7166  2 Si 2.40
Si: 0.0291 0.0000 0.5410  2 Si 2.40

Calculated values
Crystal system: monoclinic

---

Record 3
Compound: TlCd2Si
Source: the Alexandria database
Functional: PBE-GGA
Structure: optimized geometry

Lattice parameters (Å, degrees): 5.6861 5.6861 2.9358 90.00 90.00 90.00
Last column: nearest neighbours and their distance in Å.
Sites, in units of the cell vectors:
Tl: 0.0000 0.0000 0.0000  2 Tl 2.94, 8 Cd 3.20
Cd: 0.0000 0.5000 0.5000  2 Cd 2.94, 4 Tl 3.20, 4 Si 3.20
Cd: 0.5000 0.0000 0.5000  2 Cd 2.94, 4 Tl 3.20, 4 Si 3.20
Si: 0.5000 0.5000 0.0000  2 Si 2.94, 8 Cd 3.20

Calculated values
Crystal system: tetragonal

---

Record 4
Compound: TlCdSi2
Source: the Alexandria database
Functional: PBE-GGA
Structure: optimized geometry

Lattice parameters (Å, degrees): 3.0875 3.0875 9.9586 90.00 90.00 109.17
Last column: nearest neighbours and their distance in Å.
Sites, in units of the cell vectors:
Tl: 0.0000 0.0000 0.0000  4 Tl 3.09, 2 Si 3.26
Cd: 0.5000 0.5000 0.3097  2 Si 3.07, 4 Cd 3.09
Si: 0.0000 0.0000 0.5600  2 Si 2.44
Si: 0.5000 0.5000 0.7266  2 Si 2.44

Calculated values
Crystal system: orthorhombic

---

Record 5
Compound: Tl2CdSi2
Source: the Alexandria database
Functional: PBE-GGA
Structure: optimized geometry

Lattice parameters (Å, degrees): 10.5594 10.5594 10.5594 161.01 161.01 26.98
Last column: nearest neighbours and their distance in Å.
Sites, in units of the cell vectors:
Tl: 0.1183 0.1183 0.0000  4 Si 3.22, 4 Cd 3.46, 4 Tl 3.48
Tl: 0.8817 0.8817 0.0000  4 Si 3.22, 4 Cd 3.46, 4 Tl 3.48
Cd: 0.5000 0.5000 0.0000  8 Tl 3.46, 4 Cd 3.48
Si: 0.2500 0.7500 0.5000  4 Si 2.46
Si: 0.7500 0.2500 0.5000  4 Si 2.46

Calculated values
Crystal system: tetragonal

---

Record 6
Compound: TlCdSi2
Source: the Alexandria database
Functional: PBE-GGA
Structure: optimized geometry

Lattice parameters (Å, degrees): 5.4038 5.4038 5.4038 131.70 131.70 70.71
Last column: nearest neighbours and their distance in Å.
Sites, in units of the cell vectors:
Tl: 0.0000 0.0000 0.0000  4 Cd 3.12, 8 Si 3.12-3.13
Cd: 0.2500 0.7500 0.5000  4 Tl 3.12, 8 Si 3.12-3.13
Si: 0.5000 0.5000 0.0000  4 Cd 3.12, 4 Si 3.12, 4 Tl 3.13
Si: 0.7500 0.2500 0.5000  4 Tl 3.12, 4 Si 3.12, 4 Cd 3.13

Calculated values
Crystal system: tetragonal

---

Record 7
Compound: TlCdSi2
Source: the Alexandria database
Functional: PBE-GGA
Structure: optimized geometry

Lattice parameters (Å, degrees): 5.0667 5.0667 5.9014 106.97 106.97 43.70
Last column: nearest neighbours and their distance in Å.
Sites, in units of the cell vectors:
Tl: 0.0000 0.0000 0.0000  6 Si 3.28-3.65, 4 Cd 3.50
Cd: 0.5000 0.5000 0.5000  6 Si 2.73-2.89
Si: 0.2453 0.2453 0.6290  2 Si 2.44, 1 Cd 2.73
Si: 0.7547 0.7547 0.3710  2 Si 2.44, 1 Cd 2.73

Calculated values
Crystal system: monoclinic

---

Record 8
Compound: Tl2CdSi
Source: the Alexandria database
Functional: PBE-GGA
Structure: optimized geometry

Lattice parameters (Å, degrees): 6.6382 6.6382 5.4602 113.98 113.98 27.91
Last column: nearest neighbours and their distance in Å.
Sites, in units of the cell vectors:
Tl: 0.0000 0.0000 0.0000  4 Si 3.18, 2 Tl 3.20
Tl: 0.2034 0.2034 0.7045  2 Si 3.12, 2 Tl 3.20, 4 Cd 3.27
Cd: 0.7740 0.7740 0.2742  2 Si 2.84
Si: 0.4746 0.4746 0.4741  2 Cd 2.84, 4 Tl 3.12-3.18

Calculated values
Crystal system: monoclinic

---

Record 9
Compound: Tl2CdSi
Source: the Alexandria database
Functional: PBE-GGA
Structure: optimized geometry

Lattice parameters (Å, degrees): 5.2421 5.2421 5.2421 60.00 60.00 60.00
Last column: nearest neighbours and their distance in Å.
Sites, in units of the cell vectors:
Tl: 0.0000 0.0000 0.0000  4 Cd 3.21, 4 Tl 3.21
Tl: 0.2500 0.2500 0.2500  4 Tl 3.21, 4 Si 3.21
Cd: 0.7500 0.7500 0.7500  4 Tl 3.21, 4 Si 3.21
Si: 0.5000 0.5000 0.5000  4 Cd 3.21, 4 Tl 3.21

Calculated values
Crystal system: cubic

---

Record 10
Compound: TlCdSi2
Source: the Alexandria database
Functional: PBE-GGA
Structure: optimized geometry

Lattice parameters (Å, degrees): 4.9673 4.9673 4.9673 60.00 60.00 60.00
Last column: nearest neighbours and their distance in Å.
Sites, in units of the cell vectors:
Tl: 0.0000 0.0000 0.0000  8 Si 3.04
Cd: 0.5000 0.5000 0.5000  8 Si 3.04
Si: 0.2500 0.2500 0.2500  4 Cd 3.04, 4 Tl 3.04
Si: 0.7500 0.7500 0.7500  4 Cd 3.04, 4 Tl 3.04

Calculated values
Crystal system: cubic

---

Record 11
Compound: TlCdSi2
Source: the Alexandria database
Functional: PBE-GGA
Structure: optimized geometry

Lattice parameters (Å, degrees): 3.1230 3.1230 8.9380 90.00 90.00 90.00
Last column: nearest neighbours and their distance in Å.
Sites, in units of the cell vectors:
Tl: 0.0000 0.0000 0.0000  4 Tl 3.12, 8 Si 3.32
Cd: 0.0000 0.0000 0.5000  8 Si 2.97, 4 Cd 3.12
Si: 0.5000 0.5000 0.2777  4 Cd 2.97, 4 Si 3.12, 4 Tl 3.32
Si: 0.5000 0.5000 0.7223  4 Cd 2.97, 4 Si 3.12, 4 Tl 3.32

Calculated values
Crystal system: tetragonal

---

Record 12
Compound: TlCd2Si
Source: the Alexandria database
Functional: PBE-GGA
Structure: optimized geometry

Lattice parameters (Å, degrees): 3.1064 5.3977 5.7836 90.00 102.81 90.00
Last column: nearest neighbours and their distance in Å.
Sites, in units of the cell vectors:
Tl: 0.0000 0.0000 0.0000  2 Si 2.89, 2 Tl 3.11
Cd: 0.3295 0.5000 0.7327  5 Cd 3.00-3.11, 2 Si 3.09
Cd: 0.6705 0.5000 0.2673  5 Cd 3.00-3.11, 2 Si 3.09
Si: 0.0000 0.0000 0.5000  2 Tl 2.89, 4 Cd 3.09, 2 Si 3.11

Calculated values
Crystal system: monoclinic

---

| no. | calculated total energy (eV/atom) | energy above the lowest structure with this stoichiometry (eV/atom) |
| --- | --- | --- |
| 1 | -3.176 | 0.1383 |
| 2 | -3.166 | 0.1481 |
| 3 | -2.029 | 0.0967 |
| 4 | -3.113 | 0.2016 |
| 5 | -3.058 | 0.0000 |
| 6 | -2.929 | 0.3854 |
| 7 | -3.135 | 0.1789 |
| 8 | -2.482 | 0.0199 |
| 9 | -2.415 | 0.0871 |
| 10 | -2.893 | 0.4209 |
| 11 | -2.968 | 0.3461 |
| 12 | -2.074 | 0.0524 |